Entry 1:
DFT (PBE-GGA) results for a relaxed structure of TcB3Au.

abc: 4.126 4.126 4.126
angles: 90.00 90.00 90.00
Fractional coordinates of all 5 atoms:
Tc: 0.000 0.000 0.000
B: 0.000 0.500 0.500
B: 0.500 0.000 0.500
B: 0.500 0.500 0.000
Au: 0.500 0.500 0.500



Entry 2:
DFT (PBE-GGA) results for a relaxed structure of TcBAu3.

abc: 5.068 5.068 5.068
angles: 90.00 90.00 90.00
Fractional coordinates of all 5 atoms:
Tc: 0.000 0.000 0.000
B: 0.500 0.500 0.500
Au: 0.000 0.000 0.500
Au: 0.000 0.500 0.000
Au: 0.500 0.000 0.000



Entry 3:
DFT (PBE-GGA) results for a relaxed structure of Tc3BAu.

abc: 4.933 4.933 4.933
angles: 90.00 90.00 90.00
Fractional coordinates of all 5 atoms:
Tc: 0.000 0.000 0.500
Tc: 0.000 0.500 0.000
Tc: 0.500 0.000 0.000
B: 0.500 0.500 0.500
Au: 0.000 0.000 0.000



Entry 4:
DFT (PBE-GGA) results for a relaxed structure of Tc3BAu.

abc: 4.128 4.128 4.128
angles: 90.00 90.00 90.00
Fractional coordinates of all 5 atoms:
Tc: 0.000 0.000 0.500
Tc: 0.000 0.500 0.000
Tc: 0.500 0.000 0.000
B: 0.000 0.000 0.000
Au: 0.500 0.500 0.500



Entry 5:
DFT (PBE-GGA) results for a relaxed structure of YTcB2Au.

abc: 4.454 4.454 5.188
angles: 90.00 90.00 90.00
Fractional coordinates of all 5 atoms:
Y: 0.000 0.000 0.000
Tc: 0.500 0.500 0.500
B: 0.000 0.500 0.000
B: 0.500 0.000 0.000
Au: 0.000 0.000 0.500



Entry 6:
DFT (PBE-GGA) results for a relaxed structure of Zr2TcBAu.

abc: 4.891 4.891 5.040
angles: 90.00 90.00 90.00
Fractional coordinates of all 5 atoms:
Zr: 0.000 0.500 0.000
Zr: 0.500 0.000 0.000
Tc: 0.000 0.000 0.000
B: 0.500 0.500 0.500
Au: 0.000 0.000 0.500



Entry 7:
DFT (PBE-GGA) results for a relaxed structure of B2TeAu.

abc: 6.342 6.342 6.342
angles: 132.10 132.10 70.08
Fractional coordinates of all 8 atoms:
B: 0.101 0.625 0.976
B: 0.375 0.351 0.476
B: 0.649 0.125 0.024
B: 0.875 0.899 0.524
Te: 0.250 0.750 0.500
Te: 0.500 0.500 0.000
Au: 0.000 0.000 0.000
Au: 0.750 0.250 0.500

Formation energy without anion corrections: 781.2 meV per atom



Entry 8:
DFT (PBE-GGA) results for a relaxed structure of BTe2Au.

abc: 6.881 6.881 6.881
angles: 128.28 128.28 76.17
Fractional coordinates of all 8 atoms:
B: 0.000 0.000 0.000
B: 0.750 0.250 0.500
Te: 0.067 0.625 0.942
Te: 0.375 0.317 0.442
Te: 0.683 0.125 0.058
Te: 0.875 0.933 0.558
Au: 0.250 0.750 0.500
Au: 0.500 0.500 0.000

Formation energy without anion corrections: 219.5 meV per atom



Entry 9:
DFT (PBE-GGA) results for a relaxed structure of BTe2Au.

abc: 7.376 7.376 7.376
angles: 36.09 36.09 36.09
Fractional coordinates of all 4 atoms:
B: 0.000 0.000 0.000
Te: 0.099 0.099 0.099
Te: 0.901 0.901 0.901
Au: 0.500 0.500 0.500

Formation energy without anion corrections: 571.8 meV per atom



Entry 10:
DFT (PBE-GGA) results for a relaxed structure of B2TeAu.

abc: 4.425 4.425 4.425
angles: 60.00 60.00 60.00
Fractional coordinates of all 4 atoms:
B: 0.250 0.250 0.250
B: 0.750 0.750 0.750
Te: 0.000 0.000 0.000
Au: 0.500 0.500 0.500

Formation energy without anion corrections: 1644.8 meV per atom



Entry 11:
DFT (PBE-GGA) results for a relaxed structure of BTeAu2.

abc: 7.597 7.597 7.597
angles: 141.38 141.38 55.76
Fractional coordinates of all 8 atoms:
B: 0.000 0.000 0.000
B: 0.750 0.250 0.500
Te: 0.250 0.750 0.500
Te: 0.500 0.500 0.000
Au: 0.013 0.625 0.888
Au: 0.375 0.263 0.388
Au: 0.737 0.125 0.112
Au: 0.875 0.987 0.612

Formation energy without anion corrections: 447.4 meV per atom



Entry 12:
DFT (PBE-GGA) results for a relaxed structure of BTe2Au.

abc: 8.317 8.317 8.317
angles: 25.36 25.36 25.36
Fractional coordinates of all 4 atoms:
B: 0.000 0.000 0.000
Te: 0.391 0.391 0.391
Te: 0.609 0.609 0.609
Au: 0.500 0.500 0.500

Formation energy without anion corrections: 622.9 meV per atom



no.,Fermi-level density of states (states/eV per cell),final energy (Ry/atom),calculated density (Mg/m³)
1,3.74,-0.340,7.741
2,4.21,-0.248,8.928
3,6.44,-0.374,6.941
4,6.18,-0.584,11.843
5,4.34,-0.320,6.541
6,6.86,-0.448,6.724
7,2.93,-0.306,8.348
8,0.00,-0.282,7.879
9,1.55,-0.256,6.173
10,2.40,-0.242,9.381
11,4.41,-0.268,10.429
12,1.81,-0.253,8.276